# 1
A plane-wave DFT calculation with GGA-PBE was carried out for PmPrNiPt after structural relaxation.

Unit cell a=3.959 b=4.452 c=5.670 alpha=90.00 beta=110.43 gamma=90.00
Positions (direct):
1 Pm 0.862 0.500 0.725
2 Pr 0.141 0.000 0.282
3 Pt 0.576 0.500 0.152
4 Ni 0.421 0.000 0.841

Excess energy over the best structure of this formula in the dataset = 0.000 eV per atom
E_form = -0.736 eV/atom

=====

# 2
A plane-wave DFT calculation with GGA-PBE was carried out for PmPrNiRh after structural relaxation.

Unit cell a=4.985 b=4.985 c=4.985 alpha=60.00 beta=60.00 gamma=60.00
Positions (direct):
1 Pm 0.000 0.000 0.000
2 Rh 0.750 0.750 0.750
3 Ni 0.250 0.250 0.250
4 Pr 0.500 0.500 0.500

Excess energy over the best structure of this formula in the dataset = 0.074 eV per atom
E_form = -0.441 eV/atom

=====

# 3
A plane-wave DFT calculation with GGA-PBE was carried out for PmPrNiRh after structural relaxation.

Unit cell a=3.967 b=4.178 c=5.829 alpha=90.00 beta=109.90 gamma=90.00
Positions (direct):
1 Pr 0.141 0.000 0.282
2 Ni 0.576 0.500 0.152
3 Rh 0.421 0.000 0.841
4 Pm 0.862 0.500 0.724

Excess energy over the best structure of this formula in the dataset = 0.000 eV per atom
E_form = -0.515 eV/atom

=====

# 4
A plane-wave DFT calculation with GGA-PBE was carried out for PmPrNiSb after structural relaxation.

Unit cell a=5.263 b=5.263 c=5.263 alpha=60.00 beta=60.00 gamma=60.00
Each line ends with the local moment (μB).
Positions (direct):
1 Pm 0.500 0.500 0.500  0.15
2 Sb 0.750 0.750 0.750  -0.01
3 Ni 0.250 0.250 0.250  0.25
4 Pr 0.000 0.000 0.000  0.14

Raw formation energy = -455 meV per atom